# 1
{"formula": "ThUTc2", "functional": "PBE-GGA", "state": "optimized geometry", "cell": [[6.172, 0.000, 0.000], [0.000, 5.310, 0.000], [0.000, 0.000, 10.227]], "species": ["Th", "Th", "Th", "Th", "U", "U", "U", "U", "Tc", "Tc", "Tc", "Tc", "Tc", "Tc", "Tc", "Tc"], "frac_coords": [[0.208, 0.250, 0.155], [0.292, 0.750, 0.655], [0.708, 0.250, 0.345], [0.792, 0.750, 0.845], [0.004, 0.250, 0.633], [0.496, 0.750, 0.133], [0.504, 0.250, 0.867], [0.996, 0.750, 0.367], [0.077, 0.250, 0.867], [0.222, 0.250, 0.447], [0.278, 0.750, 0.947], [0.423, 0.750, 0.367], [0.577, 0.250, 0.633], [0.722, 0.250, 0.053], [0.778, 0.750, 0.553], [0.923, 0.750, 0.133]], "relative_energy_mev_per_atom": 0, "e_tot_ev_per_cell": -160.087, "space_group": "Pnma (62)", "formation_enthalpy_0k_ev_per_atom": -0.145}

# 2
{"formula": "ThUTc2", "functional": "PBE-GGA", "state": "optimized geometry", "cell": [[2.198, 1.269, 5.322], [-2.198, 1.269, 5.322], [0.000, -2.538, 5.322]], "species": ["Th", "U", "Tc", "Tc"], "frac_coords": [[0.000, 0.000, 0.000], [0.500, 0.500, 0.500], [0.210, 0.210, 0.210], [0.790, 0.790, 0.790]], "relative_energy_mev_per_atom": 30, "e_tot_ev_per_cell": -39.900, "space_group": "R-3m (166)", "formation_enthalpy_0k_ev_per_atom": -0.115}

# 3
{"formula": "ThUTc4", "functional": "PBE-GGA", "state": "optimized geometry", "cell": [[0.000, 3.822, 3.822], [3.822, 0.000, 3.822], [3.822, 3.822, 0.000]], "species": ["Th", "U", "Tc", "Tc", "Tc", "Tc"], "frac_coords": [[0.000, 0.000, 0.000], [0.250, 0.250, 0.250], [0.125, 0.625, 0.625], [0.625, 0.125, 0.625], [0.625, 0.625, 0.125], [0.625, 0.625, 0.625]], "e_tot_ev_per_cell": -60.148, "space_group": "F-43m (216)", "formation_enthalpy_0k_ev_per_atom": 0.004}

# 4
{"formula": "ThUTc", "functional": "PBE-GGA", "state": "optimized geometry", "cell": [[-1.763, 1.763, 5.527], [1.763, -1.763, 5.527], [1.763, 1.763, -5.527]], "species": ["Th", "U", "Tc"], "frac_coords": [[0.000, 0.000, 0.000], [0.304, 0.304, 0.000], [0.702, 0.702, 0.000]], "relative_energy_mev_per_atom": 0, "e_tot_ev_per_cell": -28.906, "space_group": "I4mm (107)", "formation_enthalpy_0k_ev_per_atom": 0.056}

# 5
{"formula": "ThU2Tc3", "functional": "PBE-GGA", "state": "optimized geometry", "cell": [[2.991, -5.189, 0.000], [2.991, 5.189, 0.000], [0.000, 0.000, 4.055]], "species": ["Th", "U", "U", "Tc", "Tc", "Tc"], "frac_coords": [[0.000, 0.000, 0.000], [0.333, 0.667, 0.000], [0.667, 0.333, 0.000], [0.000, 0.500, 0.500], [0.500, 0.000, 0.500], [0.500, 0.500, 0.500]], "e_tot_ev_per_cell": -61.824, "space_group": "Cmmm (65)", "formation_enthalpy_0k_ev_per_atom": -0.122}

# 6
{"formula": "ThUTc2", "functional": "PBE-GGA", "state": "optimized geometry", "cell": [[4.910, 0.000, 0.000], [0.000, 4.910, 0.000], [0.000, 0.000, 3.479]], "species": ["Th", "U", "Tc", "Tc"], "frac_coords": [[0.000, 0.000, 0.000], [0.500, 0.500, 0.000], [0.000, 0.500, 0.500], [0.500, 0.000, 0.500]], "relative_energy_mev_per_atom": 253, "e_tot_ev_per_cell": -39.008, "space_group": "P4/mmm (123)", "formation_enthalpy_0k_ev_per_atom": 0.108}

# 7
{"formula": "ThUTc", "functional": "PBE-GGA", "state": "optimized geometry", "cell": [[4.791, 0.000, 0.000], [-2.396, 4.149, 0.000], [0.000, 0.000, 3.297]], "species": ["Th", "U", "Tc"], "frac_coords": [[0.000, 0.000, 0.000], [0.333, 0.667, 0.343], [0.667, 0.333, 0.626]], "relative_energy_mev_per_atom": 129, "e_tot_ev_per_cell": -28.519, "space_group": "P3m1 (156)", "formation_enthalpy_0k_ev_per_atom": 0.185}

# 8
{"formula": "ThUTc2", "functional": "PBE-GGA", "state": "optimized geometry", "cell": [[0.000, 3.472, 3.472], [3.472, 0.000, 3.472], [3.472, 3.472, 0.000]], "species": ["Th", "U", "Tc", "Tc"], "frac_coords": [[0.000, 0.000, 0.000], [0.500, 0.500, 0.500], [0.250, 0.250, 0.250], [0.750, 0.750, 0.750]], "relative_energy_mev_per_atom": 239, "e_tot_ev_per_cell": -39.067, "space_group": "Fm-3m (225)", "formation_enthalpy_0k_ev_per_atom": 0.093}